VASP calculation (PBE) on a geometry-optimized Pm2HgPt9 structure.

```
Pm2HgPt9
1.0
5.455 0.000 0.000
2.728 4.725 0.000
2.728 1.575 8.855
Pt Pm Hg
9 2 1
Cartesian
4.074 2.352 2.256
5.455 1.555 6.598
6.837 3.947 6.598
4.074 3.947 6.598
5.455 3.150 4.427
5.455 4.745 2.256
2.728 1.575 0.026
6.837 2.352 2.256
8.183 4.725 8.828
8.183 4.725 3.601
2.728 1.575 5.254
0.000 0.000 0.000
```

space-group type	R-3m (166)
E	-5.95	eV/atom
N(E_F)	0.67	states/eV per atom